# 1
{"formula": "SrSb2W", "functional": "PBE", "state": "optimized geometry", "cell": [[-0.8631, 0.7223, -3.2782], [2.9109, -1.5212, -1.1016], [-0.9702, -8.5470, -1.6276]], "species": ["Sb", "Sb", "W", "Sr"], "frac_coords": [[0.0000, 0.4468, 0.5532], [0.0000, 0.0532, 0.9468], [0.5000, 0.7500, 0.7500], [0.5000, 0.2500, 0.2500]], "vol_a3_per_cell": 96.58, "formation_energy_uncorrected_ev_per_atom": -0.008, "de_polymorph_ev_per_atom": 0.0000, "total_magnetization_mub_per_cell": 0.0, "total_energy_ev_per_cell": -22.9, "sg": "P2/m (10)"}

# 2
{"formula": "SrY2SbW", "functional": "PBE", "state": "optimized geometry", "cell": [[-0.4580, 4.6382, 2.6686], [-5.3166, 0.5845, -1.9283], [-1.8474, -2.6507, 4.2900]], "species": ["W", "Sr", "Y", "Y", "Sb"], "frac_coords": [[0.0000, 0.0000, 0.0000], [0.0000, 0.5000, 0.0000], [0.5000, 0.0000, 0.0000], [0.0000, 0.0000, 0.5000], [0.5000, 0.5000, 0.5000]], "vol_a3_per_cell": 164.00, "formation_energy_uncorrected_ev_per_atom": 0.495, "total_magnetization_mub_per_cell": 0.0, "total_energy_ev_per_cell": -29.2, "sg": "P4/mmm (123)"}

# 3
{"formula": "SrYSb3", "functional": "PBE", "state": "optimized geometry", "cell": [[5.7677, 0.0000, 0.0000], [0.0000, 5.7677, 0.0000], [0.0000, 0.0000, 5.7677]], "species": ["Sb", "Sb", "Sb", "Sr", "Y"], "frac_coords": [[0.0000, 0.0000, 0.5000], [0.5000, 0.0000, 0.0000], [0.0000, 0.5000, 0.0000], [0.5000, 0.5000, 0.5000], [0.0000, 0.0000, 0.0000]], "vol_a3_per_cell": 191.87, "formation_energy_uncorrected_ev_per_atom": -0.306, "de_polymorph_ev_per_atom": 0.0000, "total_magnetization_mub_per_cell": 0.0, "total_energy_ev_per_cell": -22.0, "sg": "Pm-3m (221)"}

# 4
{"formula": "SrY3Sb", "functional": "PBE", "state": "optimized geometry", "cell": [[5.6069, 0.0000, 0.0000], [0.0000, 5.6069, 0.0000], [0.0000, 0.0000, 5.6069]], "species": ["Y", "Y", "Y", "Sr", "Sb"], "frac_coords": [[0.5000, 0.0000, 0.0000], [0.0000, 0.5000, 0.0000], [0.0000, 0.0000, 0.5000], [0.0000, 0.0000, 0.0000], [0.5000, 0.5000, 0.5000]], "vol_a3_per_cell": 176.27, "formation_energy_uncorrected_ev_per_atom": 1.028, "de_polymorph_ev_per_atom": 1.0991, "total_magnetization_mub_per_cell": 0.0, "total_energy_ev_per_cell": -20.1, "sg": "Pm-3m (221)"}

# 5
{"formula": "Sr5YSb4", "functional": "PBE", "state": "optimized geometry", "cell": [[4.8225, 0.0000, 0.0000], [0.0000, 8.6203, -1.4425], [-2.4113, -2.7250, 10.1927]], "species": ["Sr", "Sr", "Sr", "Sr", "Sr", "Sb", "Sb", "Sb", "Sb", "Y"], "frac_coords": [[0.5000, 0.5000, 0.0000], [0.8331, 0.0790, 0.6662], [0.8331, 0.5873, 0.6663], [0.1669, 0.4127, 0.3337], [0.1669, 0.9210, 0.3338], [0.3072, 0.8072, 0.6144], [0.0000, 0.7627, 0.0000], [0.6928, 0.1928, 0.3856], [0.0000, 0.2373, 0.0000], [0.5000, 0.0000, 0.0000]], "vol_a3_per_cell": 404.77, "formation_energy_uncorrected_ev_per_atom": -0.882, "total_magnetization_mub_per_cell": 1.0, "total_energy_ev_per_cell": -40.2, "sg": "Immm (71)"}

# 6
{"formula": "Sr3YSb", "functional": "PBE", "state": "optimized geometry", "cell": [[-2.2141, 4.6643, 3.5225], [-1.5651, -4.1023, 4.4483], [5.6315, 0.6937, 2.6211]], "species": ["Sr", "Sr", "Sr", "Sb", "Y"], "frac_coords": [[0.0000, 0.0000, 0.5000], [0.0000, 0.5000, 0.0000], [0.5000, 0.0000, 0.0000], [0.5000, 0.5000, 0.5000], [0.0000, 0.0000, 0.0000]], "vol_a3_per_cell": 244.17, "formation_energy_uncorrected_ev_per_atom": 0.712, "de_polymorph_ev_per_atom": 0.7540, "total_magnetization_mub_per_cell": 3.7, "total_energy_ev_per_cell": -12.1, "sg": "Pm-3m (221)"}

# 7
{"formula": "Sr2YSb2", "functional": "PBE", "state": "optimized geometry", "cell": [[8.5456, 0.0000, 0.0000], [0.0000, 8.5456, 0.0000], [0.0000, 0.0000, 4.6506]], "species": ["Sb", "Sb", "Sb", "Sb", "Sr", "Sr", "Sr", "Sr", "Y", "Y"], "frac_coords": [[0.3363, 0.8363, 0.0000], [0.1637, 0.3363, 0.0000], [0.6637, 0.1637, 0.0000], [0.8363, 0.6637, 0.0000], [0.8546, 0.3546, 0.5000], [0.6454, 0.8546, 0.5000], [0.1454, 0.6454, 0.5000], [0.3546, 0.1454, 0.5000], [0.5000, 0.5000, 0.0000], [0.0000, 0.0000, 0.0000]], "vol_a3_per_cell": 339.62, "formation_energy_uncorrected_ev_per_atom": -0.903, "de_polymorph_ev_per_atom": 0.0000, "total_magnetization_mub_per_cell": 2.0, "total_energy_ev_per_cell": -45.2, "sg": "P4/mbm (127)"}

# 8
{"formula": "SrY2Sb2", "functional": "PBE", "state": "optimized geometry", "cell": [[-0.1708, 3.1447, -3.7078], [-4.2032, 1.7691, 1.6941], [1.3700, 7.2071, 2.8580]], "species": ["Y", "Y", "Sr", "Sb", "Sb"], "frac_coords": [[0.7500, 0.2500, 0.5000], [0.2500, 0.7500, 0.5000], [0.0000, 0.0000, 0.0000], [0.3840, 0.3840, 0.2321], [0.6160, 0.6160, 0.7679]], "vol_a3_per_cell": 167.61, "formation_energy_uncorrected_ev_per_atom": -0.775, "de_polymorph_ev_per_atom": 0.1136, "total_magnetization_mub_per_cell": 1.1, "total_energy_ev_per_cell": -26.7, "sg": "I4/mmm (139)"}

# 9
{"formula": "Sr2YSb2", "functional": "PBE", "state": "optimized geometry", "cell": [[-4.4609, -6.7108, 4.6222], [-3.6237, -3.0861, -7.9777], [3.0179, -2.3295, -0.4696]], "species": ["Sr", "Sr", "Sr", "Sr", "Sb", "Sb", "Sb", "Sb", "Y", "Y"], "frac_coords": [[0.1253, 0.3747, 0.0000], [0.8747, 0.6253, 0.0000], [0.3747, 0.8747, 0.0000], [0.6253, 0.1253, 0.0000], [0.1763, 0.6763, 0.5000], [0.8237, 0.3237, 0.5000], [0.6763, 0.8237, 0.5000], [0.3237, 0.1763, 0.5000], [0.5000, 0.5000, 0.0000], [0.0000, 0.0000, 0.0000]], "vol_a3_per_cell": 331.49, "formation_energy_uncorrected_ev_per_atom": -0.480, "de_polymorph_ev_per_atom": 0.4233, "total_magnetization_mub_per_cell": 1.7, "total_energy_ev_per_cell": -40.9, "sg": "P4/mbm (127)"}

# 10
{"formula": "Sr3YSb", "functional": "PBE", "state": "optimized geometry", "cell": [[-3.1161, -5.2183, 1.6542], [0.8193, -2.3265, -5.7959], [5.4126, -2.6521, 1.8296]], "species": ["Sr", "Sr", "Sr", "Sb", "Y"], "frac_coords": [[0.5000, 0.0000, 0.0000], [0.0000, 0.0000, 0.5000], [0.0000, 0.5000, 0.0000], [0.0000, 0.0000, 0.0000], [0.5000, 0.5000, 0.5000]], "vol_a3_per_cell": 249.92, "formation_energy_uncorrected_ev_per_atom": -0.042, "de_polymorph_ev_per_atom": 0.0000, "total_magnetization_mub_per_cell": 0.0, "total_energy_ev_per_cell": -15.8, "sg": "Pm-3m (221)"}

# 11
{"formula": "SrY3Sb", "functional": "PBE", "state": "optimized geometry", "cell": [[-1.3574, 5.6942, 0.1628], [-1.9930, -0.3179, -5.4972], [-5.3365, -1.3297, 2.0116]], "species": ["Y", "Y", "Y", "Sr", "Sb"], "frac_coords": [[0.5000, 0.0000, 0.0000], [0.0000, 0.5000, 0.0000], [0.0000, 0.0000, 0.5000], [0.5000, 0.5000, 0.5000], [0.0000, 0.0000, 0.0000]], "vol_a3_per_cell": 200.82, "formation_energy_uncorrected_ev_per_atom": -0.072, "de_polymorph_ev_per_atom": 0.0000, "total_magnetization_mub_per_cell": 2.0, "total_energy_ev_per_cell": -25.6, "sg": "Pm-3m (221)"}

# 12
{"formula": "SrY2Sb2", "functional": "PBE", "state": "optimized geometry", "cell": [[8.5643, 0.0000, 0.0000], [0.0000, 8.5643, 0.0000], [0.0000, 0.0000, 4.1578]], "species": ["Y", "Y", "Y", "Y", "Sr", "Sr", "Sb", "Sb", "Sb", "Sb"], "frac_coords": [[0.3488, 0.1512, 0.5000], [0.8488, 0.3488, 0.5000], [0.1512, 0.6512, 0.5000], [0.6512, 0.8488, 0.5000], [0.0000, 0.0000, 0.0000], [0.5000, 0.5000, 0.0000], [0.8537, 0.6463, 0.0000], [0.1463, 0.3537, 0.0000], [0.6463, 0.1463, 0.0000], [0.3537, 0.8537, 0.0000]], "vol_a3_per_cell": 304.96, "formation_energy_uncorrected_ev_per_atom": -0.888, "de_polymorph_ev_per_atom": 0.0000, "total_magnetization_mub_per_cell": 0.0, "total_energy_ev_per_cell": -54.6, "sg": "P4/mbm (127)"}